Record 1
# ZnCo2Se | Alexandria | PBE | optimized geometry
# Energy relative to the lowest polymorph listed for this composition: 126 meV/atom
data_ZnCo2Se
_chemical_formula_sum 'Zn3 Co6 Se3'
_space_group_name_H-M_alt 'R 3 m'
_space_group_IT_number 160
_space_group_name_Hall 'R 3 -2"'
_cell_length_a 2.8453
_cell_length_b 2.8453
_cell_length_c 24.8984
_cell_angle_alpha 90.00
_cell_angle_beta 90.00
_cell_angle_gamma 120.00
loop_
_atom_site_label
_atom_site_type_symbol
_atom_site_fract_x
_atom_site_fract_y
_atom_site_fract_z
_atom_site_occupancy
Zn1 Zn 0.0000 0.0000 0.0000 1
Co1 Co 0.0000 0.0000 0.4849 1
Co2 Co 0.0000 0.0000 0.7446 1
Se1 Se 0.0000 0.0000 0.2224 1


Record 2
# ZnCo3Se | Alexandria | PBE | optimized geometry
# Energy relative to the lowest polymorph listed for this composition: 0 meV/atom
data_ZnCo3Se
_chemical_formula_sum 'Zn1 Co3 Se1'
_space_group_name_H-M_alt 'P m -3 m'
_space_group_IT_number 221
_space_group_name_Hall '-P 4 2 3'
_cell_length_a 4.302
_cell_length_b 4.302
_cell_length_c 4.302
_cell_angle_alpha 90.00
_cell_angle_beta 90.00
_cell_angle_gamma 90.00
loop_
_atom_site_label
_atom_site_type_symbol
_atom_site_fract_x
_atom_site_fract_y
_atom_site_fract_z
_atom_site_occupancy
Zn1 Zn 0.000 0.000 0.000 1
Co1 Co 0.000 0.500 0.500 1
Se1 Se 0.500 0.500 0.500 1


Record 3
# ZnCoSe2 | Alexandria | PBE | optimized geometry
# Final energy: -3.63 eV per atom
data_ZnCoSe2
_chemical_formula_sum 'Zn1 Co1 Se2'
_space_group_name_H-M_alt 'P m m m'
_space_group_IT_number 47
_cell_length_a 2.772
_cell_length_b 3.101
_cell_length_c 8.337
_cell_angle_alpha 90.00
_cell_angle_beta 90.00
_cell_angle_gamma 90.00
loop_
_space_group_symop_operation_xyz
'x,y,z'
'-x,-y,-z'
'-x,-y,z'
'x,y,-z'
'x,-y,-z'
'-x,y,z'
'-x,y,-z'
'x,-y,z'
loop_
_atom_site_label
_atom_site_type_symbol
_atom_site_fract_x
_atom_site_fract_y
_atom_site_fract_z
_atom_site_occupancy
Zn1 Zn 0.000 0.000 0.000 1
Co1 Co 0.000 0.000 0.500 1
Se1 Se 0.500 0.500 0.317 1


Record 4
# ZnCoSe2 | Alexandria | PBE | optimized geometry
# Final energy: -3.66 eV per atom
data_ZnCoSe2
_chemical_formula_sum 'Zn1 Co1 Se2'
_space_group_name_H-M_alt 'P m m m'
_space_group_IT_number 47
_cell_length_a 3.465
_cell_length_b 3.539
_cell_length_c 7.672
_cell_angle_alpha 90.00
_cell_angle_beta 90.00
_cell_angle_gamma 90.00
loop_
_space_group_symop_operation_xyz
'x,y,z'
'-x,-y,-z'
'-x,-y,z'
'x,y,-z'
'x,-y,-z'
'-x,y,z'
'-x,y,-z'
'x,-y,z'
loop_
_atom_site_label
_atom_site_type_symbol
_atom_site_fract_x
_atom_site_fract_y
_atom_site_fract_z
_atom_site_occupancy
Zn1 Zn 0.000 0.000 0.000 1
Co1 Co 0.000 0.500 0.500 1
Se1 Se 0.500 0.000 0.500 1
Se2 Se 0.500 0.500 0.000 1


What are the calculated volume values for these records? In order: 14.55; 15.92; 17.92; 23.52 Å³/atom.